A relaxed structure of Li9Mn4B8O24. Source: Alexandria via LeMat-Bulk, functional GGA+U.

Properties
- Spin magnetization: 13.000 μB per formula unit
- Symmetry: P1, No. 1
- Electronic total energy: -313.08 eV for the cell shown

a b c (Å): 5.2006 8.8203 9.7150
angles (deg): 88.76 85.62 89.32
Each line ends with the local moment (μB).
Atoms (fractional coordinates):
Mn: 0.6074 0.2072 0.3783  3.29
O: 0.2605 0.1493 0.3724  -0.09
B: 0.6773 0.8651 0.3662  0.01
O: 0.8474 0.7469 0.3213  -0.06
O: 0.3735 0.3990 0.3914  -0.07
O: 0.1180 0.6493 0.5830  -0.03
O: 0.1297 0.8876 0.0868  -0.08
Li: 0.6382 0.5687 0.8390  0.00
B: 0.3342 0.1465 0.6418  0.01
O: 0.9289 0.6585 0.9337  -0.01
O: 0.2350 0.0071 0.6636  0.04
B: 0.1693 0.2957 0.3902  0.02
Li: 0.6969 0.5330 0.3876  0.00
B: 0.1704 0.6342 0.8680  0.01
O: 0.4407 0.8222 0.4255  -0.03
B: 0.8558 0.6768 0.6080  0.01
Li: 0.1940 0.9646 0.8791  0.00
Mn: 0.3920 0.7941 0.6234  3.88
B: 0.3414 0.7971 0.1163  0.02
O: 0.7469 0.5139 0.1711  -0.04
O: 0.7656 0.3563 0.8521  -0.08
O: 0.2730 0.4906 0.8425  -0.04
Mn: 0.8987 0.7114 0.1238  3.24
Li: 0.8251 0.3489 0.6272  0.00
O: 0.7664 0.0119 0.3504  -0.06
Li: 0.3794 0.4397 0.1610  0.00
B: 0.6759 0.2103 0.8898  0.02
Mn: 0.1179 0.2959 0.8823  3.25
Li: 0.8315 0.0414 0.1219  0.00
O: 0.5927 0.8385 0.1048  -0.04
O: 0.9150 0.3361 0.4083  -0.03
O: 0.8871 0.1173 0.9146  -0.07
O: 0.1765 0.2735 0.6801  -0.04
O: 0.0841 0.3427 0.0759  -0.02
O: 0.6784 0.2504 0.1821  -0.04
O: 0.6835 0.5588 0.6086  0.02
O: 0.7638 0.8224 0.6310  -0.03
O: 0.5849 0.1774 0.5796  -0.04
Li: 0.3351 0.4709 0.6229  0.00
O: 0.2520 0.6518 0.1592  -0.08
O: 0.3311 0.7515 0.8222  -0.04
O: 0.4244 0.1691 0.8996  -0.04
Li: 0.8938 0.0178 0.5844  0.00
B: 0.8443 0.3701 0.1418  0.01
Li: 0.1866 0.6888 0.3744  0.00